1.
Sc2GaFe5B2 after structural relaxation. Source: Alexandria, functional PBE.

Computed properties:
Energy relative to the elements, eV per formula unit: -3.65
Space-group type: No. 127

abc: 3.0766 8.7122 8.7122
angles: 90.00 90.00 90.00
Last column: nearest neighbours and their distance in Å.
Sites, in units of the cell vectors:
1 Sc 0.0000 0.8247 0.6753  3 B 2.51-2.63, 10 Fe 2.65-2.77
2 Sc 0.0000 0.6753 0.1753  3 B 2.51-2.63, 10 Fe 2.65-2.77
3 Fe 0.5000 0.5686 0.7218  2 B 2.11
4 B 0.0000 0.3787 0.1212  6 Fe 2.11-2.14
5 Fe 0.5000 0.5000 0.0000  4 B 2.14
6 Fe 0.5000 0.0686 0.7782  2 B 2.11
7 Fe 0.5000 0.0000 0.5000  4 B 2.14
8 B 0.0000 0.6212 0.8788  6 Fe 2.11-2.14
9 Fe 0.5000 0.2218 0.0686  2 B 2.11
10 Fe 0.5000 0.2782 0.5686  2 B 2.11
11 Sc 0.0000 0.3247 0.8247  3 B 2.51-2.63, 10 Fe 2.65-2.77
12 Fe 0.5000 0.7782 0.9314  2 B 2.11
13 B 0.0000 0.8788 0.3787  6 Fe 2.11-2.14
14 Ga 0.0000 0.0000 0.0000  8 Fe 2.54
15 Ga 0.0000 0.5000 0.5000  8 Fe 2.54
16 B 0.0000 0.1212 0.6212  6 Fe 2.11-2.14
17 Fe 0.5000 0.4314 0.2782  2 B 2.11
18 Fe 0.5000 0.7218 0.4314  2 B 2.11
19 Fe 0.5000 0.9314 0.2218  2 B 2.11
20 Sc 0.0000 0.1753 0.3247  3 B 2.51-2.63, 10 Fe 2.65-2.77

***

2.
Ta2GaFe5B2 after structural relaxation. Source: Alexandria, functional PBE.

Computed properties:
Energy relative to the elements, eV per formula unit: -4.42
Space-group type: No. 127

abc: 2.9334 8.6603 8.6603
angles: 90.00 90.00 90.00
Last column: nearest neighbours and their distance in Å.
Sites, in units of the cell vectors:
1 Fe 0.5000 0.0684 0.7808  2 B 2.07
2 B 0.0000 0.8787 0.3787  6 Fe 2.07-2.09
3 Fe 0.5000 0.7192 0.4316  2 B 2.07
4 Ta 0.0000 0.3234 0.8234  3 B 2.48-2.62, 10 Fe 2.61-2.73
5 Fe 0.5000 0.2192 0.0684  2 B 2.07
6 Fe 0.5000 0.9316 0.2192  2 B 2.07
7 Ga 0.0000 0.0000 0.0000  8 Fe 2.47
8 Fe 0.5000 0.5684 0.7192  2 B 2.07
9 Fe 0.5000 0.4316 0.2808  2 B 2.07
10 Fe 0.5000 0.5000 0.0000  4 B 2.09
11 B 0.0000 0.6213 0.8787  6 Fe 2.07-2.09
12 Ta 0.0000 0.8234 0.6766  3 B 2.48-2.62, 10 Fe 2.61-2.73
13 Ta 0.0000 0.6766 0.1766  3 B 2.48-2.62, 10 Fe 2.61-2.73
14 Fe 0.5000 0.0000 0.5000  4 B 2.09
15 Fe 0.5000 0.7808 0.9316  2 B 2.07
16 Ga 0.0000 0.5000 0.5000  8 Fe 2.47
17 B 0.0000 0.1213 0.6213  6 Fe 2.07-2.09
18 B 0.0000 0.3787 0.1213  6 Fe 2.07-2.09
19 Ta 0.0000 0.1766 0.3234  3 B 2.48-2.62, 10 Fe 2.61-2.73
20 Fe 0.5000 0.2808 0.5684  2 B 2.07

***

3.
GaFe2BTe after structural relaxation. Source: Alexandria, functional PBE.

Computed properties:
Space-group type: No. 123
Uncorrected formation energy, eV per atom: 1.785

abc: 4.4915 5.1259 4.4915
angles: 90.00 90.00 90.00
Last column: nearest neighbours and their distance in Å.
Sites, in units of the cell vectors:
1 Ga 0.0000 0.0000 0.0000  4 Fe 2.25
2 Te 0.0000 0.5000 0.0000  2 Ga 2.56
3 Fe 0.5000 0.0000 0.0000  2 Ga 2.25
4 Fe 0.0000 0.0000 0.5000  2 Ga 2.25
5 B 0.5000 0.5000 0.5000  4 Te 3.18, 8 Fe 3.41

***

4.
Ti2GaFe5B2 after structural relaxation. Source: Alexandria, functional PBE.

Computed properties:
Energy relative to the elements, eV per formula unit: -4.60
Space-group type: No. 127

abc: 2.9157 8.5748 8.5748
angles: 90.00 90.00 90.00
Last column: nearest neighbours and their distance in Å.
Sites, in units of the cell vectors:
1 Ga 0.0000 0.0000 0.0000  8 Fe 2.45
2 Fe 0.5000 0.0000 0.5000  4 B 2.08
3 B 0.0000 0.3773 0.1227  6 Fe 2.05-2.08
4 Ga 0.0000 0.5000 0.5000  8 Fe 2.45
5 B 0.0000 0.6227 0.8773  6 Fe 2.05-2.08
6 Fe 0.5000 0.9306 0.2186  2 B 2.05
7 Ti 0.0000 0.3254 0.8254  3 B 2.46-2.59, 10 Fe 2.57-2.71
8 Fe 0.5000 0.4306 0.2814  2 B 2.05
9 Ti 0.0000 0.8254 0.6746  3 B 2.46-2.59, 10 Fe 2.57-2.71
10 Fe 0.5000 0.7186 0.4306  2 B 2.05
11 Fe 0.5000 0.0694 0.7814  2 B 2.05
12 Fe 0.5000 0.5694 0.7186  2 B 2.05
13 Fe 0.5000 0.2814 0.5694  2 B 2.05
14 Fe 0.5000 0.7814 0.9306  2 B 2.05
15 B 0.0000 0.1227 0.6227  6 Fe 2.05-2.08
16 Ti 0.0000 0.1746 0.3254  3 B 2.46-2.59, 10 Fe 2.57-2.71
17 Fe 0.5000 0.2186 0.0694  2 B 2.05
18 Ti 0.0000 0.6746 0.1746  3 B 2.46-2.59, 10 Fe 2.57-2.71
19 Fe 0.5000 0.5000 0.0000  4 B 2.08
20 B 0.0000 0.8773 0.3773  6 Fe 2.05-2.08

***

5.
Zr2GaFe5B2 after structural relaxation. Source: Alexandria, functional PBE.

Computed properties:
Energy relative to the elements, eV per formula unit: -4.01
Space-group type: No. 127

abc: 3.0871 8.7631 8.7631
angles: 90.00 90.00 90.00
Last column: nearest neighbours and their distance in Å.
Sites, in units of the cell vectors:
1 Fe 0.5000 0.2219 0.0678  2 B 2.13
2 Zr 0.0000 0.3236 0.8236  3 B 2.53-2.64, 10 Fe 2.68-2.78
3 Zr 0.0000 0.6764 0.1764  3 B 2.53-2.64, 10 Fe 2.68-2.78
4 Fe 0.5000 0.5678 0.7219  2 B 2.13
5 Fe 0.5000 0.5000 0.0000  4 B 2.14
6 Ga 0.0000 0.0000 0.0000  8 Fe 2.55
7 Zr 0.0000 0.1764 0.3236  3 B 2.53-2.64, 10 Fe 2.68-2.78
8 Fe 0.5000 0.7781 0.9322  2 B 2.13
9 Zr 0.0000 0.8236 0.6764  3 B 2.53-2.64, 10 Fe 2.68-2.78
10 B 0.0000 0.1196 0.6196  6 Fe 2.13-2.14
11 B 0.0000 0.6196 0.8804  6 Fe 2.13-2.14
12 B 0.0000 0.3804 0.1196  6 Fe 2.13-2.14
13 Fe 0.5000 0.7219 0.4322  2 B 2.13
14 Fe 0.5000 0.2781 0.5678  2 B 2.13
15 Fe 0.5000 0.4322 0.2781  2 B 2.13
16 Ga 0.0000 0.5000 0.5000  8 Fe 2.55
17 Fe 0.5000 0.9322 0.2219  2 B 2.13
18 B 0.0000 0.8804 0.3804  6 Fe 2.13-2.14
19 Fe 0.5000 0.0678 0.7781  2 B 2.13
20 Fe 0.5000 0.0000 0.5000  4 B 2.14

***

6.
Gd2Fe14B after structural relaxation. Source: Alexandria, functional PBE.

Computed properties:
Energy relative to the elements, eV per formula unit: -1.55
Space-group type: No. 136

abc: 8.7185 8.7185 11.9561
angles: 90.00 90.00 90.00
Last column: nearest neighbours and their distance in Å.
Sites, in units of the cell vectors:
1 Fe 0.0000 0.0000 0.3848  2 B 2.06
2 Fe 0.5671 0.2246 0.1269  1 B 2.07
3 Fe 0.9028 0.9028 0.7982  8 Fe 2.36-2.62
4 Fe 0.8591 0.4625 0.6750  10 Fe 2.36-2.63
5 Fe 0.6821 0.6821 0.2462  12 Fe 2.61-2.77
6 Fe 0.3591 0.0375 0.1750  10 Fe 2.36-2.63
7 B 0.6246 0.3754 0.0000  6 Fe 2.06-2.07
8 Fe 0.5000 0.5000 0.1152  2 B 2.06
9 Fe 0.5671 0.2246 0.8731  1 B 2.07
10 Fe 0.7246 0.9329 0.6269  1 B 2.07
11 Fe 0.5000 0.0000 0.0000  8 Fe 2.45-2.55
12 Fe 0.6409 0.9625 0.1750  10 Fe 2.36-2.63
13 Fe 0.5972 0.4028 0.7018  8 Fe 2.36-2.62
14 B 0.3754 0.6246 0.0000  6 Fe 2.06-2.07
15 Fe 0.0000 0.5000 0.5000  8 Fe 2.45-2.55
16 Gd 0.7320 0.7320 0.0000  16 Fe 3.01-3.20, 2 B 3.25
17 Gd 0.7680 0.2320 0.5000  16 Fe 3.01-3.20, 2 B 3.25
18 Fe 0.8179 0.1821 0.7462  12 Fe 2.61-2.77
19 Fe 0.8591 0.4625 0.3250  10 Fe 2.36-2.63
20 Fe 0.5972 0.4028 0.2982  8 Fe 2.36-2.62
21 Fe 0.9329 0.7246 0.3731  1 B 2.07
22 Gd 0.3570 0.3570 0.5000  1 B 2.87, 6 Fe 3.03-3.07
23 Fe 0.2754 0.0671 0.6269  1 B 2.07
24 Fe 0.9625 0.6409 0.1750  10 Fe 2.36-2.63
25 Fe 0.6409 0.9625 0.8250  10 Fe 2.36-2.63
26 Fe 0.4329 0.7754 0.1269  1 B 2.07
27 Fe 0.1821 0.8179 0.7462  12 Fe 2.61-2.77
28 Fe 0.5375 0.1409 0.6750  10 Fe 2.36-2.63
29 Fe 0.5000 0.5000 0.8848  2 B 2.06
30 Fe 0.2754 0.0671 0.3731  1 B 2.07
31 B 0.1246 0.1246 0.5000  6 Fe 2.06-2.07
32 Fe 0.0375 0.3591 0.1750  10 Fe 2.36-2.63
33 Fe 0.3179 0.3179 0.7538  12 Fe 2.61-2.77
34 Gd 0.2680 0.2680 0.0000  16 Fe 3.01-3.20, 2 B 3.25
35 Fe 0.8179 0.1821 0.2538  12 Fe 2.61-2.77
36 Fe 0.2246 0.5671 0.8731  1 B 2.07
37 Gd 0.6430 0.6430 0.5000  1 B 2.87, 6 Fe 3.03-3.07
38 Fe 0.7754 0.4329 0.8731  1 B 2.07
39 Fe 0.9329 0.7246 0.6269  1 B 2.07
40 Gd 0.1430 0.8570 0.0000  1 B 2.87, 6 Fe 3.03-3.07
41 Fe 0.3179 0.3179 0.2462  12 Fe 2.61-2.77
42 Fe 0.9028 0.9028 0.2018  8 Fe 2.36-2.62
43 Fe 0.0972 0.0972 0.7982  8 Fe 2.36-2.62
44 Fe 0.1409 0.5375 0.6750  10 Fe 2.36-2.63
45 Fe 0.0000 0.5000 0.0000  8 Fe 2.45-2.55
46 Fe 0.3591 0.0375 0.8250  10 Fe 2.36-2.63
47 Fe 0.9625 0.6409 0.8250  10 Fe 2.36-2.63
48 Fe 0.4625 0.8591 0.3250  10 Fe 2.36-2.63
49 Gd 0.8570 0.1430 0.0000  1 B 2.87, 6 Fe 3.03-3.07
50 B 0.8754 0.8754 0.5000  6 Fe 2.06-2.07
51 Gd 0.2320 0.7680 0.5000  16 Fe 3.01-3.20, 2 B 3.25
52 Fe 0.4028 0.5972 0.7018  8 Fe 2.36-2.62
53 Fe 0.6821 0.6821 0.7538  12 Fe 2.61-2.77
54 Fe 0.7754 0.4329 0.1269  1 B 2.07
55 Fe 0.0000 0.0000 0.6152  2 B 2.06
56 Fe 0.7246 0.9329 0.3731  1 B 2.07
57 Fe 0.5375 0.1409 0.3250  10 Fe 2.36-2.63
58 Fe 0.1821 0.8179 0.2538  12 Fe 2.61-2.77
59 Fe 0.4028 0.5972 0.2982  8 Fe 2.36-2.62
60 Fe 0.4625 0.8591 0.6750  10 Fe 2.36-2.63
61 Fe 0.2246 0.5671 0.1269  1 B 2.07
62 Fe 0.0375 0.3591 0.8250  10 Fe 2.36-2.63
63 Fe 0.0972 0.0972 0.2018  8 Fe 2.36-2.62
64 Fe 0.1409 0.5375 0.3250  10 Fe 2.36-2.63
65 Fe 0.4329 0.7754 0.8731  1 B 2.07
66 Fe 0.0671 0.2754 0.6269  1 B 2.07
67 Fe 0.0671 0.2754 0.3731  1 B 2.07
68 Fe 0.5000 0.0000 0.5000  8 Fe 2.45-2.55

***

7.
GdFeB4 after structural relaxation. Source: Alexandria, functional PBE.

Computed properties:
Energy relative to the elements, eV per formula unit: -3.46
Space-group type: No. 55

abc: 3.3953 5.9203 11.4565
angles: 90.00 90.00 90.00
Last column: nearest neighbours and their distance in Å.
Sites, in units of the cell vectors:
1 Fe 0.5000 0.3678 0.0879  10 B 2.20-2.29
2 B 0.0000 0.6111 0.0457  3 B 1.68-1.73
3 Gd 0.5000 0.3737 0.3497  14 B 2.60-2.71
4 Fe 0.5000 0.6322 0.9121  10 B 2.20-2.29
5 B 0.0000 0.1401 0.0321  3 B 1.72-1.81
6 B 0.0000 0.3889 0.9543  3 B 1.68-1.73
7 B 0.0000 0.3599 0.5321  3 B 1.72-1.81
8 B 0.0000 0.8599 0.9679  3 B 1.72-1.81
9 Gd 0.5000 0.1263 0.8497  14 B 2.60-2.71
10 B 0.0000 0.0243 0.3105  3 B 1.73-1.86
11 Gd 0.5000 0.6263 0.6503  14 B 2.60-2.71
12 B 0.0000 0.2197 0.1831  3 B 1.79-1.86
13 B 0.0000 0.7803 0.8169  3 B 1.79-1.86
14 Fe 0.5000 0.8678 0.4121  10 B 2.20-2.29
15 B 0.0000 0.5243 0.1895  3 B 1.73-1.86
16 B 0.0000 0.7197 0.3169  3 B 1.79-1.86
17 B 0.0000 0.2803 0.6831  3 B 1.79-1.86
18 B 0.0000 0.6401 0.4679  3 B 1.72-1.81
19 B 0.0000 0.8889 0.5457  3 B 1.68-1.73
20 B 0.0000 0.9757 0.6895  3 B 1.73-1.86
21 B 0.0000 0.4757 0.8105  3 B 1.73-1.86
22 Gd 0.5000 0.8737 0.1503  14 B 2.60-2.71
23 Fe 0.5000 0.1322 0.5879  10 B 2.20-2.29
24 B 0.0000 0.1111 0.4543  3 B 1.68-1.73

***

8.
GdFe2B after structural relaxation. Source: Alexandria, functional PBE.

Computed properties:
Energy relative to the elements, eV per formula unit: -0.56
Space-group type: No. 166

abc: 3.7252 3.7252 5.3821
angles: 69.75 69.75 60.00
Last column: nearest neighbours and their distance in Å.
Sites, in units of the cell vectors:
1 B 0.0000 0.0000 0.0000  6 Fe 2.17
2 Fe 0.3122 0.3122 0.0635  3 B 2.17, 3 Fe 2.24
3 Fe 0.6878 0.6878 0.9365  3 B 2.17, 3 Fe 2.24
4 Gd 0.5000 0.5000 0.5000  8 Fe 2.78-3.04

***

9.
GdFe4B after structural relaxation. Source: Alexandria, functional PBE.

Computed properties:
Energy relative to the elements, eV per formula unit: -1.10
Space-group type: No. 191

abc: 5.0730 5.0730 7.0463
angles: 90.00 90.00 120.00
Last column: nearest neighbours and their distance in Å.
Sites, in units of the cell vectors:
1 Gd 0.0000 0.0000 0.0000  18 Fe 2.93-3.24
2 Gd 0.0000 0.0000 0.5000  6 B 2.93, 12 Fe 2.95
3 Fe 0.5000 0.0000 0.7132  2 B 2.10
4 Fe 0.5000 0.5000 0.7132  2 B 2.10
5 Fe 0.0000 0.5000 0.2868  2 B 2.10
6 B 0.6667 0.3333 0.5000  6 Fe 2.10
7 B 0.3333 0.6667 0.5000  6 Fe 2.10
8 Fe 0.5000 0.0000 0.2868  2 B 2.10
9 Fe 0.6667 0.3333 0.0000  6 Fe 2.50
10 Fe 0.3333 0.6667 0.0000  6 Fe 2.50
11 Fe 0.5000 0.5000 0.2868  2 B 2.10
12 Fe 0.0000 0.5000 0.7132  2 B 2.10